No. 1
A geometry-optimized Cs3BaTc structure. Source: Alexandria, functional PBE.

It has space group Pm-3m (No. 221), with a = 6.4394 Å, b = 6.4394 Å, c = 6.4394 Å, α = 90.00°, β = 90.00° and γ = 90.00°. The asymmetric unit holds Cs at (0.0000, 0.0000, 0.5000), Ba at (0.5000, 0.5000, 0.5000) and Tc at (0.0000, 0.0000, 0.0000).

The spin magnetization comes out at 0.000 μB per atom. The final energy is -1.7079 eV per atom. Its crystal system is cubic.

=====

No. 2
A geometry-optimized Ce3Pa4C8 structure. Source: Alexandria, functional PBE.

It has space group C2/m (No. 12), with a = 10.1975 Å, b = 10.1979 Å, c = 7.2010 Å, α = 90.00°, β = 134.64° and γ = 90.00°. The asymmetric unit holds Ce at (0.0000, 0.0000, 0.0000), Ce at (0.2500, 0.2500, 0.0000), Pa at (0.0000, 0.5000, 0.0000), Pa at (0.0000, 0.5000, 0.5000), Pa at (0.2500, 0.2500, 0.5000), C at (0.0000, 0.2552, 0.0000), C at (0.0000, 0.2705, 0.5000), C at (0.2146, 0.5000, 0.9503) and C at (0.2254, 0.5000, 0.4857).

The spin magnetization comes out at 0.000 μB per atom. The final energy is -8.5828 eV per atom. Its crystal system is monoclinic.

=====

No. 3
A geometry-optimized MgV2Ag structure. Source: Alexandria, functional PBE.

It has space group I-42d (No. 122), with a = 7.4722 Å, b = 7.4722 Å, c = 4.9308 Å, α = 90.00°, β = 90.00° and γ = 90.00°. The asymmetric unit holds Mg at (0.0000, 0.0000, 0.0000), V at (0.2402, 0.7500, 0.6250) and Ag at (0.0000, 0.0000, 0.5000).

The spin magnetization comes out at 0.000 μB per atom. The final energy is -4.8522 eV per atom. Its crystal system is tetragonal.

=====

No. 4
A geometry-optimized Na3GaSe3 structure. Source: Alexandria, functional PBE.

It has space group P2_1/c (No. 14), with a = 7.5558 Å, b = 7.3350 Å, c = 15.2491 Å, α = 90.00°, β = 119.28° and γ = 90.00°. The asymmetric unit holds Na at (0.0593, 0.0294, 0.2870), Na at (0.2724, 0.0038, 0.1065), Na at (0.3145, 0.5041, 0.1049), Ga at (0.3331, 0.6449, 0.4179), Se at (0.0485, 0.7389, 0.9289), Se at (0.3444, 0.7488, 0.2714) and Se at (0.3458, 0.1957, 0.9264).

As for the formation energy without anion corrections: -0.972 eV per atom. The spin magnetization comes out at 0.000 μB per atom. Its crystal system is monoclinic.

=====

no.,DOS(E_F) (states/eV per atom)
1,1.493
2,1.000
3,1.034
4,0.000